Entry 1:
Computed, not measured: a relaxed Na2TlIrO6 crystal at the PBE level of DFT.

The space group is P2_1/c (No. 14) and the conventional cell measures 5.580, 5.771 and 9.705 Å, with angles of 90.00, 124.80 and 90.00 degrees. Symmetry generates all atoms from Na at (0.237, 0.057, 0.250), Tl at (0.500, 0.000, 0.000), Ir at (0.000, 0.000, 0.500), O at (0.095, 0.220, 0.934), O at (0.228, 0.671, 0.945) and O at (0.341, 0.045, 0.726).

For the total energy, the calculation gives -5.24 eV per atom. The calculation puts the formation energy from raw total energies at -0.878 eV per atom.

Entry 2:
Computed, not measured: a relaxed LiCd2Cl crystal at the PBE level of DFT.

The space group is Cm (No. 8) and the conventional cell measures 10.583, 3.453 and 7.041 Å, with angles of 90.00, 118.89 and 90.00 degrees. Symmetry generates all atoms from Li at (0.000, 0.000, 0.000), Cd at (0.240, 0.500, 0.361), Cd at (0.462, 0.000, 0.338) and Cl at (0.362, 0.000, 0.796).

For the total energy, the calculation gives -1.97 eV per atom. The energy above the most stable polymorph in this dataset is 0.44 eV per formula unit. The calculation puts the formation energy from raw total energies at -0.572 eV per atom.

Entry 3:
Computed, not measured: a relaxed Ac2La2Rh3 crystal at the PBE level of DFT.

The space group is P-1 (No. 2) and the conventional cell measures 4.359, 6.382 and 7.945 Å, with angles of 77.84, 74.14 and 90.00 degrees. Symmetry generates all atoms from Ac at (0.095, 0.313, 0.310), La at (0.335, 0.180, 0.830), Rh at (0.265, 0.688, 0.969) and Rh at (0.500, 0.500, 0.500).

For the total energy, the calculation gives -6.39 eV per atom. The energy of formation is -0.66 eV/atom.

Q: Which of these has the lowest total energy?
A: Ac2La2Rh3